This record from the Alexandria database describes a relaxed LaSn2Pb crystal. The functional is PBE-GGA.

Structure (CIF):
```
data_LaSn2Pb
_cell_length_a 5.3467
_cell_length_b 5.3467
_cell_length_c 22.9834
_cell_angle_alpha 90.00
_cell_angle_beta 90.00
_cell_angle_gamma 120.00
_symmetry_space_group_name_H-M 'R -3 m'
_symmetry_Int_Tables_number 166
_symmetry_space_group_name_Hall '-R 3 2"'
loop_
_atom_site_label
_atom_site_fract_x
_atom_site_fract_y
_atom_site_fract_z
La1 0.0000 0.0000 0.0000
Sn1 0.0000 0.0000 0.3760
Pb1 0.0000 0.0000 0.5000
```

Computed properties:
DFT formation energy, eV per formula unit: 0.9
Spin magnetization, μB per cell: 0.00
Electronic total energy, eV per cell: -47.10